<A>
DFT (PBE-GGA) results for CeTm2Os2 after structural relaxation.

```
CeTm2Os2
1.0
-2.1627 2.9295 4.3939
2.1627 -2.9295 4.3939
2.1627 2.9295 -4.3939
Ce Tm Os
1 2 2
Direct
0.0000 0.0000 0.0000
0.3046 0.8046 0.5000
0.6954 0.1954 0.5000
0.2726 0.5000 0.7726
0.7274 0.5000 0.2274
```

Space-group type ... Immm (71)
Magnetic moment ... 0.0 μB/cell

***

<B>
DFT (PBE-GGA) results for CeTm2Os2 after structural relaxation.

```
CeTm2Os2
1.0
5.2462 -2.4878 0.0000
5.2462 2.4878 0.0000
-3.9562 0.0000 8.5363
Ce Tm Os
2 4 4
Direct
0.1835 0.1835 0.0842
0.8165 0.8165 0.9158
0.1378 0.1378 0.4716
0.4570 0.4570 0.7807
0.5430 0.5430 0.2193
0.8622 0.8622 0.5284
0.1289 0.1289 0.7976
0.3752 0.3752 0.3899
0.6248 0.6248 0.6101
0.8711 0.8711 0.2024
```

Space-group type ... C2/m (12)
Magnetic moment ... 0.0 μB/cell

***

Which structure is the most stable? The one labeled <A>.

***

<A>
DFT (PBE-GGA) results for CeUOs2 after structural relaxation.

```
CeUOs2
1.0
3.8924 0.0000 0.0000
0.0000 3.5349 0.0000
-1.6185 0.0000 5.8170
Ce U Os
1 1 2
Direct
0.0000 0.0000 0.0000
0.0000 0.0000 0.5000
0.4704 0.5000 0.7313
0.5296 0.5000 0.2687
```

Space-group type ... P2/m (10)
Magnetic moment ... 0.3 μB/cell

***

<B>
DFT (PBE-GGA) results for CeUOs2 after structural relaxation.

```
CeUOs2
1.0
0.0000 3.4259 3.4259
3.4259 0.0000 3.4259
3.4259 3.4259 0.0000
Ce U Os
1 1 2
Direct
0.0000 0.0000 0.0000
0.5000 0.5000 0.5000
0.2500 0.2500 0.2500
0.7500 0.7500 0.7500
```

Space-group type ... Fm-3m (225)
Magnetic moment ... 2.0 μB/cell

***

<C>
DFT (PBE-GGA) results for CeUOs2 after structural relaxation.

```
CeUOs2
1.0
3.3423 0.0000 0.0000
0.0000 3.3423 0.0000
0.0000 0.0000 7.2657
Ce U Os
1 1 2
Direct
0.0000 0.0000 0.0000
0.0000 0.0000 0.5000
0.5000 0.5000 0.2824
0.5000 0.5000 0.7176
```

Space-group type ... P4/mmm (123)
Magnetic moment ... 1.6 μB/cell

***

<D>
DFT (PBE-GGA) results for CeUOs2 after structural relaxation.

```
CeUOs2
1.0
1.9544 1.1284 6.5784
-1.9544 1.1284 6.5784
0.0000 -2.2567 6.5784
Ce U Os
1 1 2
Direct
0.0000 0.0000 0.0000
0.5000 0.5000 0.5000
0.2447 0.2447 0.2447
0.7553 0.7553 0.7553
```

Space-group type ... R-3m (166)
Magnetic moment ... 0.0 μB/cell

***

Which structure is the most stable? The one labeled <C>.